[1]
The following is a PBE calculation of a relaxed DyAlO2 crystal, from Alexandria via LeMat-Bulk.

Formation energy without anion corrections ... -51.73 kcal/mol of atoms
Raw total energy ... -6.809 eV per atom

Cell lengths 3.0948, 3.0948, 19.2081 Å; angles 90.00, 90.00, 120.00 degrees
Space group R-3m (No. 166, hexagonal axes)
Asymmetric unit:
Dy 0.0000 0.0000 0.0000
Al 0.0000 0.0000 0.5000
O 0.0000 0.0000 0.1181



[2]
The following is a PBE calculation of a relaxed Dy2AlO crystal, from Alexandria via LeMat-Bulk.

Formation energy without anion corrections ... -24.78 kcal/mol of atoms
Raw total energy ... -5.551 eV per atom

Cell lengths 3.4058, 3.4058, 26.2798 Å; angles 90.00, 90.00, 120.00 degrees
Space group R-3m (No. 166, hexagonal axes)
Asymmetric unit:
Dy 0.0000 0.0000 0.1144
Al 0.0000 0.0000 0.0000
O 0.0000 0.0000 0.5000



[3]
The following is a PBE calculation of a relaxed Dy3AlO6 crystal, from Alexandria via LeMat-Bulk.

Formation energy without anion corrections ... -79.64 kcal/mol of atoms
Raw total energy ... -8.183 eV per atom

Cell lengths 8.878, 11.118, 5.393 Å; angles 90.00, 90.00, 90.00 degrees
Space group Cmc2_1 (No. 36)
Asymmetric unit:
Dy 0.000 0.103 0.000
Dy 0.193 0.394 0.954
Al 0.000 0.306 0.419
O 0.000 0.286 0.747
O 0.000 0.456 0.294
O 0.154 0.238 0.255
O 0.160 0.015 0.726